#1
{
  "formula": "Ac2Al5Zn3",
  "functional": "PBE",
  "state": "relaxed",
  "lattice_angstrom": [[4.474, 0.000, 0.000], [0.000, 4.474, 0.000], [0.000, 0.000, 10.821]],
  "species": ["Ac", "Ac", "Al", "Al", "Al", "Al", "Al", "Zn", "Zn", "Zn"],
  "fractional_positions": [[0.000, 0.500, 0.246], [0.500, 0.000, 0.754], [0.000, 0.000, 0.500], [0.000, 0.500, 0.639], [0.500, 0.000, 0.361], [0.500, 0.500, 0.000], [0.500, 0.500, 0.500], [0.000, 0.000, 0.000], [0.000, 0.500, 0.876], [0.500, 0.000, 0.124]],
  "sg": "P-4m2"
}



#2
{
  "formula": "Ac2Al5Zn3",
  "functional": "PBE",
  "state": "relaxed",
  "lattice_angstrom": [[-5.499, 6.265, 3.122], [5.499, -6.265, 3.122], [5.499, 6.265, -3.122]],
  "species": ["Ac", "Ac", "Ac", "Ac", "Al", "Al", "Al", "Al", "Al", "Al", "Al", "Al", "Al", "Al", "Zn", "Zn", "Zn", "Zn", "Zn", "Zn"],
  "fractional_positions": [[0.126, 0.245, 0.371], [0.374, 0.745, 0.120], [0.626, 0.255, 0.880], [0.874, 0.755, 0.629], [0.009, 0.750, 0.259], [0.125, 0.871, 0.995], [0.250, 0.750, 0.500], [0.375, 0.371, 0.746], [0.491, 0.750, 0.741], [0.509, 0.250, 0.259], [0.625, 0.629, 0.254], [0.750, 0.250, 0.500], [0.875, 0.129, 0.005], [0.991, 0.250, 0.741], [0.121, 0.636, 0.757], [0.250, 0.250, 0.000], [0.379, 0.136, 0.515], [0.621, 0.864, 0.485], [0.750, 0.750, 0.000], [0.879, 0.364, 0.243]],
  "sg": "Ibam"
}



Least stable structure among those shown: #1.